GdZn2Sb: relaxed, PBE.

Cell lengths 4.2357, 4.2357, 24.7101 Å; angles 90.00, 90.00, 120.00 degrees
Space group R-3m (No. 166, hexagonal axes)
Asymmetric unit:
1 Gd 0.0000 0.0000 0.0000 x3
2 Zn 0.0000 0.0000 0.1191 x6
3 Sb 0.0000 0.0000 0.5000 x3

Properties
As for the density: 5.318 g/cm³. The volume comes out at 31.99 Å³/atom. For the raw total energy, the calculation gives -4.773 eV/atom. For the energy relative to the elements, uncorrected, the calculation gives 0.41 eV per atom.